[1]
DFT (PBEsol) results for a geometry-optimized CuReRu structure.

Calculated values
The space-group type is I4mm (107). The formation energy comes out at 60 kJ/mol of formula units. Its crystal system is tetragonal.

Cell: 5.5325 5.5325 5.5325 Å, 150.95 150.95 41.55°
Closest atoms and distances in Å follow each position.
Element x y z (fractional)
Cu: 0.0000 0.0000 0.0000  4 Ru 2.63, 4 Re 2.63, 4 Cu 2.78
Re: 0.6700 0.6700 0.0000  4 Ru 2.58, 4 Cu 2.63, 4 Re 2.78
Ru: 0.3314 0.3314 0.0000  4 Re 2.58, 4 Cu 2.63, 4 Ru 2.78

---

[2]
DFT (PBEsol) results for a geometry-optimized CuRe2Ru structure.

Calculated values
The space-group type is P4mm (99). The formation energy comes out at 114 kJ/mol of formula units. Its crystal system is tetragonal.

Cell: 3.0722 3.0722 5.7585 Å, 90.00 90.00 90.00°
Closest atoms and distances in Å follow each position.
Element x y z (fractional)
Cu: 0.0000 0.0000 0.0000  4 Ru 2.53, 4 Re 2.57
Re: 0.0000 0.0000 0.4942  4 Re 2.62, 4 Ru 2.71, 2 Cu 2.85-2.91
Re: 0.5000 0.5000 0.2390  4 Cu 2.57, 4 Re 2.62, 1 Ru 2.67
Ru: 0.5000 0.5000 0.7746  4 Cu 2.53, 5 Re 2.67-2.71

---

[3]
DFT (PBEsol) results for a geometry-optimized CuReRu structure.

Calculated values
The space-group type is Imm2 (44). The formation energy comes out at 38 kJ/mol of formula units. Its crystal system is orthorhombic.

Cell: 4.5533 4.5533 4.5533 Å, 145.25 132.25 60.39°
Closest atoms and distances in Å follow each position.
Element x y z (fractional)
Cu: 0.0000 0.0000 0.0000  5 Ru 2.61-2.65, 5 Re 2.61-2.64, 2 Cu 2.72
Re: 0.6679 0.6679 0.0000  5 Cu 2.61-2.64, 5 Ru 2.63-2.65, 2 Re 2.72
Ru: 0.3316 0.3316 0.0000  5 Cu 2.61-2.65, 5 Re 2.63-2.65, 2 Ru 2.72

---

[4]
DFT (PBEsol) results for a geometry-optimized ZnCu2ReS structure.

Calculated values
For the energy relative to the elements, uncorrected, the calculation gives 4.7 eV/f.u. The space-group type is P4/mmm (123). Its crystal system is tetragonal.

Cell: 4.7695 4.7695 4.3021 Å, 90.00 90.00 90.00°
Closest atoms and distances in Å follow each position.
Element x y z (fractional)
Zn: 0.0000 0.0000 0.0000  8 Cu 3.21, 4 S 3.37
Cu: 0.0000 0.5000 0.5000  2 Re 2.38
Cu: 0.5000 0.0000 0.5000  2 Re 2.38
Re: 0.5000 0.5000 0.5000  2 S 2.15, 4 Cu 2.38
S: 0.5000 0.5000 0.0000  2 Re 2.15

---

[5]
DFT (PBEsol) results for a geometry-optimized CuRe3Sb structure.

Calculated values
For the energy relative to the elements, uncorrected, the calculation gives 9.9 eV/f.u. The space-group type is Pm-3m (221). Its crystal system is cubic.

Cell: 4.4618 4.4618 4.4618 Å, 90.00 90.00 90.00°
Closest atoms and distances in Å follow each position.
Element x y z (fractional)
Cu: 0.0000 0.0000 0.0000  6 Re 2.23
Re: 0.0000 0.0000 0.5000  2 Cu 2.23
Re: 0.0000 0.5000 0.0000  2 Cu 2.23
Re: 0.5000 0.0000 0.0000  2 Cu 2.23
Sb: 0.5000 0.5000 0.5000  12 Re 3.15

---

[6]
DFT (PBEsol) results for a geometry-optimized CuRe2SbW structure.

Calculated values
For the energy relative to the elements, uncorrected, the calculation gives 11.4 eV/f.u. The space-group type is P4/mmm (123). Its crystal system is tetragonal.

Cell: 4.7175 4.7175 5.0280 Å, 90.00 90.00 90.00°
Closest atoms and distances in Å follow each position.
Element x y z (fractional)
Cu: 0.0000 0.0000 0.0000  4 Sb 3.34, 8 Re 3.45
Re: 0.0000 0.5000 0.5000  2 W 2.36
Re: 0.5000 0.0000 0.5000  2 W 2.36
Sb: 0.5000 0.5000 0.0000  2 W 2.51
W: 0.5000 0.5000 0.5000  4 Re 2.36, 2 Sb 2.51

---

[7]
DFT (PBEsol) results for a geometry-optimized ScCu2Re2 structure.

Calculated values
The space-group type is I4/mmm (139). The formation energy comes out at 213 kJ/mol of formula units. Its crystal system is tetragonal.

Cell: 6.1417 6.1417 6.1417 Å, 143.87 143.87 52.03°
Closest atoms and distances in Å follow each position.
Element x y z (fractional)
Sc: 0.0000 0.0000 0.0000  8 Re 2.92
Cu: 0.2500 0.7500 0.5000  4 Re 2.51, 4 Cu 2.69
Cu: 0.7500 0.2500 0.5000  4 Re 2.51, 4 Cu 2.69
Re: 0.3974 0.3974 0.0000  1 Re 2.27, 4 Cu 2.51
Re: 0.6026 0.6026 0.0000  1 Re 2.27, 4 Cu 2.51

---

[8]
DFT (PBEsol) results for a geometry-optimized Sc2CuRe structure.

Calculated values
The space-group type is R-3m (166). The formation energy comes out at 65 kJ/mol of formula units. Its crystal system is trigonal.

Cell: 8.5135 8.5135 8.5135 Å, 21.01 21.01 21.01°
Closest atoms and distances in Å follow each position.
Element x y z (fractional)
Sc: 0.2474 0.2474 0.2474  3 Re 2.70, 3 Cu 2.80
Sc: 0.7526 0.7526 0.7526  3 Re 2.70, 3 Cu 2.80
Cu: 0.0000 0.0000 0.0000  6 Sc 2.80, 6 Cu 3.10
Re: 0.5000 0.5000 0.5000  6 Sc 2.70